# 1
Crystalline SrScBe2 at its relaxed geometry. Source: Alexandria via LeMat-Bulk, functional GGA-PBEsol.

Calculated values
The calculation puts the formation energy at 455.0 meV/atom. The value obtained for the energy above the lowest structure with this stoichiometry is 0 meV per atom. The total energy comes out at -14.63 eV/cell. For the total magnetic moment, the calculation gives 0.000 Bohr magnetons per cell. As for the space group: No. 225.

Lattice parameters (Å, degrees): 4.834 4.834 4.834 60.00 60.00 60.00
Fractional positions:
1 Sr 0.000 0.000 0.000
2 Sc 0.500 0.500 0.500
3 Be 0.250 0.250 0.250
4 Be 0.750 0.750 0.750

=====

# 2
Crystalline Mo2IrRh at its relaxed geometry. Source: Alexandria via LeMat-Bulk, functional GGA-PBEsol.

Calculated values
The calculation puts the formation energy at -262.0 meV/atom. The value obtained for the energy above the lowest structure with this stoichiometry is 25 meV per atom. The total energy comes out at -42.55 eV/cell. For the total magnetic moment, the calculation gives 0.000 Bohr magnetons per cell. As for the space group: No. 47.

Lattice parameters (Å, degrees): 2.724 3.871 5.451 90.00 90.00 90.00
Fractional positions:
1 Mo 0.000 0.000 0.249
2 Mo 0.000 0.000 0.751
3 Ir 0.500 0.500 0.000
4 Rh 0.500 0.500 0.500

=====

# 3
Crystalline LiCa2Te at its relaxed geometry. Source: Alexandria via LeMat-Bulk, functional GGA-PBEsol.

Calculated values
Its uncorrected formation energy is -0.766 eV/atom. The total energy comes out at -12.82 eV/cell. For the total magnetic moment, the calculation gives 0.002 Bohr magnetons per cell. As for the space group: No. 38.

Lattice parameters (Å, degrees): 4.356 6.432 6.432 39.38 90.00 90.00
Fractional positions:
1 Li 0.000 0.000 0.000
2 Ca 0.000 0.720 0.720
3 Ca 0.500 0.421 0.421
4 Te 0.500 0.139 0.139

=====

# 4
Crystalline SeBrCl3 at its relaxed geometry. Source: Alexandria via LeMat-Bulk, functional GGA-PBEsol.

Calculated values
Its uncorrected formation energy is 0.105 eV/atom. The value obtained for the energy above the lowest structure with this stoichiometry is 0 meV per atom. The total energy comes out at -11.22 eV/cell. For the total magnetic moment, the calculation gives 0.960 Bohr magnetons per cell. As for the space group: No. 221.

Lattice parameters (Å, degrees): 4.940 4.940 4.940 90.00 90.00 90.00
Fractional positions:
1 Se 0.000 0.000 0.000
2 Br 0.500 0.500 0.500
3 Cl 0.000 0.000 0.500
4 Cl 0.000 0.500 0.000
5 Cl 0.500 0.000 0.000

=====

# 5
Crystalline RbSbI2N at its relaxed geometry. Source: Alexandria via LeMat-Bulk, functional GGA-PBEsol.

Calculated values
Its uncorrected formation energy is 0.194 eV/atom. The total energy comes out at -16.67 eV/cell. For the total magnetic moment, the calculation gives 0.005 Bohr magnetons per cell. As for the space group: No. 123.

Lattice parameters (Å, degrees): 6.267 6.267 4.106 90.00 90.00 90.00
Fractional positions:
1 Rb 0.000 0.000 0.000
2 Sb 0.500 0.500 0.000
3 I 0.000 0.500 0.500
4 I 0.500 0.000 0.500
5 N 0.500 0.500 0.500

=====

# 6
Crystalline ZnCrCd2 at its relaxed geometry. Source: Alexandria via LeMat-Bulk, functional GGA-PBEsol.

Calculated values
The calculation puts the formation energy at 338.9 meV/atom. The total energy comes out at -12.86 eV/cell. For the total magnetic moment, the calculation gives 3.895 Bohr magnetons per cell. As for the space group: No. 123.

Lattice parameters (Å, degrees): 3.343 3.343 6.253 90.00 90.00 90.00
Fractional positions:
1 Zn 0.000 0.000 0.000
2 Cr 0.000 0.000 0.500
3 Cd 0.500 0.500 0.249
4 Cd 0.500 0.500 0.751

=====

# 7
Crystalline CsErSiS4 at its relaxed geometry. Source: Alexandria via LeMat-Bulk, functional GGA-PBEsol.

Calculated values
Its uncorrected formation energy is -1.473 eV/atom. The total energy comes out at -157.85 eV/cell. For the total magnetic moment, the calculation gives 0.000 Bohr magnetons per cell. As for the space group: No. 19.

Lattice parameters (Å, degrees): 6.257 6.571 17.495 90.00 90.00 90.00
Fractional positions:
1 Cs 0.014 0.008 0.469
2 Cs 0.486 0.992 0.969
3 Cs 0.514 0.492 0.531
4 Cs 0.986 0.508 0.031
5 Er 0.208 0.021 0.728
6 Er 0.292 0.979 0.228
7 Er 0.708 0.479 0.272
8 Er 0.792 0.521 0.772
9 Si 0.209 0.517 0.331
10 Si 0.291 0.483 0.831
11 Si 0.709 0.983 0.669
12 Si 0.791 0.017 0.169
13 S 0.059 0.013 0.096
14 S 0.062 0.249 0.852
15 S 0.101 0.751 0.843
16 S 0.104 0.578 0.218
17 S 0.396 0.422 0.718
18 S 0.399 0.249 0.343
19 S 0.438 0.751 0.352
20 S 0.441 0.987 0.596
21 S 0.559 0.487 0.904
22 S 0.562 0.251 0.148
23 S 0.601 0.749 0.157
24 S 0.604 0.922 0.782
25 S 0.896 0.078 0.282
26 S 0.899 0.251 0.657
27 S 0.938 0.749 0.648
28 S 0.941 0.513 0.404

=====

# 8
Crystalline KNb4AsO13 at its relaxed geometry. Source: Alexandria via LeMat-Bulk, functional GGA-PBEsol.

Calculated values
Its uncorrected formation energy is -2.286 eV/atom. The total energy comes out at -322.42 eV/cell. For the total magnetic moment, the calculation gives 0.000 Bohr magnetons per cell. As for the space group: No. 36.

Lattice parameters (Å, degrees): 7.416 7.416 10.119 90.00 90.00 89.28
Fractional positions:
1 K 0.059 0.941 0.500
2 K 0.941 0.059 0.000
3 Nb 0.056 0.603 0.814
4 Nb 0.324 0.329 0.563
5 Nb 0.329 0.324 0.063
6 Nb 0.397 0.944 0.814
7 Nb 0.603 0.056 0.314
8 Nb 0.671 0.676 0.563
9 Nb 0.676 0.671 0.063
10 Nb 0.944 0.397 0.314
11 As 0.337 0.663 0.311
12 As 0.663 0.337 0.811
13 O 0.111 0.631 0.317
14 O 0.136 0.301 0.175
15 O 0.137 0.295 0.446
16 O 0.158 0.842 0.812
17 O 0.194 0.511 0.671
18 O 0.197 0.507 0.950
19 O 0.295 0.137 0.946
20 O 0.301 0.136 0.675
21 O 0.369 0.889 0.317
22 O 0.431 0.569 0.171
23 O 0.433 0.567 0.451
24 O 0.489 0.806 0.671
25 O 0.493 0.803 0.950
26 O 0.507 0.197 0.450
27 O 0.511 0.194 0.171
28 O 0.567 0.433 0.951
29 O 0.569 0.431 0.671
30 O 0.631 0.111 0.817
31 O 0.699 0.864 0.175
32 O 0.705 0.863 0.446
33 O 0.803 0.493 0.450
34 O 0.806 0.489 0.171
35 O 0.842 0.158 0.312
36 O 0.863 0.705 0.946
37 O 0.864 0.699 0.675
38 O 0.889 0.369 0.817

=====

# 9
Crystalline HgW2Au at its relaxed geometry. Source: Alexandria via LeMat-Bulk, functional GGA-PBEsol.

Calculated values
The calculation puts the formation energy at 352.3 meV/atom. The total energy comes out at -30.70 eV/cell. For the total magnetic moment, the calculation gives 0.000 Bohr magnetons per cell. As for the space group: No. 35.

Lattice parameters (Å, degrees): 2.778 2.778 9.316 90.00 90.00 108.38
Fractional positions:
1 Hg 0.000 0.000 0.000
2 W 0.000 0.000 0.490
3 W 0.500 0.500 0.263
4 Au 0.500 0.500 0.734

=====

# 10
Crystalline KBaLi at its relaxed geometry. Source: Alexandria via LeMat-Bulk, functional GGA-PBEsol.

Calculated values
The calculation puts the formation energy at 451.9 meV/atom. The total energy comes out at -3.89 eV/cell. For the total magnetic moment, the calculation gives 0.000 Bohr magnetons per cell. As for the space group: No. 216.

Lattice parameters (Å, degrees): 6.196 6.196 6.196 60.00 60.00 60.00
Fractional positions:
1 K 0.000 0.000 0.000
2 Ba 0.750 0.750 0.750
3 Li 0.250 0.250 0.250

=====

# 11
Crystalline CoRhAu2 at its relaxed geometry. Source: Alexandria via LeMat-Bulk, functional GGA-PBEsol.

Calculated values
The calculation puts the formation energy at 242.5 meV/atom. The value obtained for the energy above the lowest structure with this stoichiometry is 130 meV per atom. The total energy comes out at -22.75 eV/cell. For the total magnetic moment, the calculation gives 2.429 Bohr magnetons per cell. As for the space group: No. 44.

Lattice parameters (Å, degrees): 5.321 5.321 5.321 149.74 128.78 60.65
Fractional positions:
1 Co 0.000 0.000 0.000
2 Rh 0.219 0.719 0.500
3 Au 0.484 0.484 0.000
4 Au 0.755 0.255 0.500